Rb2TaPt, optimized geometry, DFT PBE; spin magnetization = 3.54 μB per formula unit; space group = Fm-3m; energy above the most stable polymorph in this dataset = 780 meV per atom; E_tot = -12.98 eV/cell; formation enthalpy at 0 K = 1713 meV/atom
1.0
0.000 4.042 4.042
4.042 0.000 4.042
4.042 4.042 0.000
Rb Pt Ta
2 1 1
Cartesian
2.021 2.021 2.021 Rb
6.063 6.063 6.063 Rb
4.042 4.042 4.042 Pt
0.000 0.000 0.000 Ta

RbTa3Pt, optimized geometry, DFT PBE; spin magnetization = 0.00 μB per formula unit; space group = Pm-3m; energy above the most stable polymorph in this dataset = 1598 meV per atom; E_tot = -27.12 eV/cell; formation enthalpy at 0 K = 3090 meV/atom
1.0
4.710 0.000 0.000
0.000 4.710 0.000
0.000 0.000 4.710
Rb Pt Ta
1 1 3
Cartesian
0.000 0.000 0.000 Rb
2.355 2.355 2.355 Pt
0.000 2.355 0.000 Ta
0.000 0.000 2.355 Ta
2.355 0.000 0.000 Ta

RbTa2Pt, optimized geometry, DFT PBE; spin magnetization = 0.00 μB per formula unit; space group = I-42d; energy above the most stable polymorph in this dataset = 66 meV per atom; E_tot = -51.58 eV/cell; formation enthalpy at 0 K = 1231 meV/atom
1.0
-2.077 -4.052 -2.648
4.836 -1.610 -1.329
1.745 -7.901 5.483
Rb Pt Ta
2 2 4
Cartesian
1.380 -2.831 -1.989 Rb
3.980 -6.171 1.083 Rb
0.000 0.000 0.000 Pt
0.524 -7.392 0.423 Pt
-0.730 -5.630 -1.053 Ta
1.594 -6.619 -1.837 Ta
1.244 -7.683 2.923 Ta
-0.014 -9.636 1.659 Ta

RbTaTePt2, optimized geometry, DFT PBE; spin magnetization = 0.00 μB per formula unit; space group = P4/mmm; E_tot = -23.49 eV/cell; uncorrected formation energy = 0.9106 eV per atom
1.0
5.153 0.000 0.000
0.000 5.146 0.000
0.000 0.000 5.153
Te Rb Pt Ta
1 1 2 1
Cartesian
0.000 0.000 0.000 Te
2.577 2.573 2.577 Rb
0.000 0.000 2.577 Pt
2.577 0.000 0.000 Pt
0.000 2.573 0.000 Ta

RbTcPt, optimized geometry, DFT PBE; spin magnetization = 0.01 μB per formula unit; space group = P1; energy above the most stable polymorph in this dataset = 289 meV per atom; E_tot = -32.02 eV/cell; formation enthalpy at 0 K = 454 meV/atom
1.0
-7.380 1.831 2.680
-0.741 -5.283 2.771
0.675 1.391 2.834
Pt Tc Rb
2 2 2
Cartesian
-5.041 2.331 4.338 Pt
-7.148 0.579 3.865 Pt
-5.352 -0.168 5.639 Tc
-4.903 -2.250 4.714 Tc
-2.706 0.060 3.066 Rb
-1.310 -3.691 2.700 Rb

RbTcPt, optimized geometry, DFT PBE; spin magnetization = 0.00 μB per formula unit; space group = C2/m; energy above the most stable polymorph in this dataset = 0 meV per atom; E_tot = -33.76 eV/cell; formation enthalpy at 0 K = 166 meV/atom
1.0
-9.476 -4.180 -6.305
2.156 -3.571 -0.785
-2.432 0.293 3.467
Pt Tc Rb
2 2 2
Cartesian
-4.427 -5.658 -4.686 Pt
-6.552 -6.632 -6.095 Pt
-7.031 -4.862 -3.981 Tc
-8.537 -3.564 -2.549 Tc
-1.920 -0.696 1.861 Rb
-4.170 -3.552 -2.087 Rb

RbTcPt, optimized geometry, DFT PBE; spin magnetization = 1.16 μB per formula unit; space group = Pnma; energy above the most stable polymorph in this dataset = 657 meV per atom; E_tot = -59.63 eV/cell; formation enthalpy at 0 K = 822 meV/atom
1.0
7.240 0.000 0.000
0.000 4.415 0.000
0.000 0.000 12.371
Rb Tc Pt
4 4 4
Cartesian
6.342 1.104 4.424 Rb
4.518 3.312 10.609 Rb
0.898 3.312 7.947 Rb
2.722 1.104 1.762 Rb
0.370 1.104 11.118 Tc
3.250 3.312 4.933 Tc
6.870 3.312 1.252 Tc
3.990 1.104 7.437 Tc
2.430 1.104 5.512 Pt
1.190 3.312 11.697 Pt
4.810 3.312 6.858 Pt
6.050 1.104 0.673 Pt

RbTcPt, optimized geometry, DFT PBE; spin magnetization = 0.00 μB per formula unit; space group = Pnma; energy above the most stable polymorph in this dataset = 406 meV per atom; E_tot = -62.63 eV/cell; formation enthalpy at 0 K = 572 meV/atom
1.0
-3.214 8.524 -2.838
-2.613 -0.422 1.693
4.686 4.554 8.370
Rb Tc Pt
4 4 4
Cartesian
0.267 11.625 4.767 Rb
-2.223 6.062 2.453 Rb
-1.408 1.030 2.458 Rb
1.082 6.594 4.772 Rb
-1.393 9.865 1.766 Tc
0.722 9.071 7.750 Tc
0.252 2.790 5.458 Tc
-1.863 3.585 -0.525 Tc
0.424 3.778 3.054 Pt
1.419 5.953 8.048 Pt
-1.565 8.878 4.171 Pt
-2.560 6.702 -0.824 Pt

RbTcPt, optimized geometry, DFT PBE; spin magnetization = 0.00 μB per formula unit; space group = P4/nmm; energy above the most stable polymorph in this dataset = 334 meV per atom; E_tot = -31.75 eV/cell; formation enthalpy at 0 K = 499 meV/atom
1.0
-1.890 1.138 -3.068
-3.206 0.064 1.999
2.159 11.888 3.080
Rb Tc Pt
2 2 2
Cartesian
-1.207 2.216 1.565 Rb
0.818 10.274 0.981 Rb
1.080 5.944 1.540 Tc
-1.469 6.545 1.006 Tc
-0.206 7.725 2.993 Pt
-0.183 4.765 -0.447 Pt

RbTcPt, optimized geometry, DFT PBE; spin magnetization = 3.60 μB per formula unit; space group = P6_3/mmc; energy above the most stable polymorph in this dataset = 1056 meV per atom; E_tot = -27.42 eV/cell; formation enthalpy at 0 K = 1222 meV/atom
1.0
-1.407 -0.979 -4.847
-3.223 -1.031 3.871
-2.257 5.411 -0.438
Rb Tc Pt
2 2 2
Cartesian
-1.693 4.059 -0.328 Rb
-0.565 1.353 -0.110 Rb
-2.618 -1.014 0.965 Tc
-3.141 1.709 -2.160 Tc
-3.746 1.690 0.746 Pt
-4.269 4.413 -2.379 Pt

RbTcPt, optimized geometry, DFT PBE; spin magnetization = 0.00 μB per formula unit; space group = P-1; energy above the most stable polymorph in this dataset = 0 meV per atom; E_tot = -33.75 eV/cell; formation enthalpy at 0 K = 166 meV/atom
1.0
12.309 0.045 -0.027
0.684 4.190 0.000
-0.590 -2.054 3.668
Pt Tc Rb
2 2 2
Cartesian
7.955 1.097 3.188 Pt
10.642 0.659 3.374 Pt
9.708 2.962 2.058 Tc
9.479 0.849 0.837 Tc
1.013 2.327 2.334 Rb
5.865 1.437 0.587 Rb

RbTcPt, optimized geometry, DFT PBE; spin magnetization = 0.31 μB per formula unit; space group = P-6m2; energy above the most stable polymorph in this dataset = 598 meV per atom; E_tot = -15.08 eV/cell; formation enthalpy at 0 K = 763 meV/atom
1.0
3.637 -2.100 0.000
0.000 4.199 0.000
0.000 0.000 5.869
Rb Tc Pt
1 1 1
Cartesian
2.425 0.000 2.934 Rb
0.000 0.000 0.000 Tc
1.212 2.100 0.000 Pt